Here is a relaxed CsUCrO6 crystal from the Alexandria database. Energies are from PBE+U.

a b c (Å): 7.5166 7.5166 7.5166
angles (deg): 123.81 116.37 89.97
Atoms (fractional coordinates):
1 Cs 0.3684 0.1184 0.2500
2 Cs 0.6316 0.8816 0.7500
3 U 0.0000 0.5000 0.5000
4 U 0.5000 0.5000 0.0000
5 Cr 0.0000 0.0000 0.5000
6 Cr 0.0000 0.5000 0.0000
7 O 0.0412 0.7912 0.2500
8 O 0.0505 0.4251 0.2242
9 O 0.0505 0.8263 0.6254
10 O 0.2991 0.1737 0.7242
11 O 0.2991 0.5749 0.1254
12 O 0.3280 0.5780 0.7500
13 O 0.6720 0.4220 0.2500
14 O 0.7009 0.4251 0.8746
15 O 0.7009 0.8263 0.2758
16 O 0.9495 0.1737 0.3746
17 O 0.9495 0.5749 0.7758
18 O 0.9588 0.2088 0.7500

Summary:
Density, g cm⁻³: 5.78
Distance to the lowest polymorph of the same formula, eV/f.u.: 1.34